# 1
VASP calculation (GGA-PBE) on a relaxed Hg3GeC crystal.

Output
M_tot ... 2.64 Bohr magnetons per cell
Electronic total energy ... -1.445 eV/atom
Space-group type ... Pm-3m, No. 221
Calculated density ... 7444 kg/m³
Formation enthalpy at 0 K ... 1.5043 eV/atom

Cell lengths 5.350, 5.350, 5.350 Å; angles 90.00, 90.00, 90.00 degrees
Fractional coordinates of all 5 atoms:
Hg: 0.000 0.000 0.500
Hg: 0.000 0.500 0.000
Hg: 0.500 0.000 0.000
Ge: 0.000 0.000 0.000
C: 0.500 0.500 0.500


# 2
VASP calculation (GGA-PBE) on a relaxed Nb9Fe3Ge2 crystal.

Output
M_tot ... 7.68 Bohr magnetons per cell
Electronic total energy ... -9.069 eV/atom
Space-group type ... Fmmm, No. 69
Calculated density ... 8265 kg/m³
Formation enthalpy at 0 K ... -0.1223 eV/atom

Cell lengths 13.504, 9.915, 9.843 Å; angles 86.23, 47.11, 46.66 degrees
Fractional coordinates of all 28 atoms:
Nb: 0.067 0.206 0.794
Nb: 0.091 0.670 0.330
Nb: 0.168 0.411 0.589
Nb: 0.206 0.067 0.933
Nb: 0.244 0.756 0.756
Nb: 0.295 0.569 0.431
Nb: 0.330 0.909 0.091
Nb: 0.411 0.168 0.832
Nb: 0.431 0.705 0.295
Nb: 0.569 0.295 0.705
Nb: 0.589 0.832 0.168
Nb: 0.670 0.091 0.909
Nb: 0.705 0.431 0.569
Nb: 0.756 0.244 0.244
Nb: 0.794 0.933 0.067
Nb: 0.832 0.589 0.411
Nb: 0.909 0.330 0.670
Nb: 0.933 0.794 0.206
Fe: 0.000 0.000 0.500
Fe: 0.000 0.500 0.000
Fe: 0.134 0.866 0.134
Fe: 0.500 0.000 0.500
Fe: 0.500 0.500 0.000
Fe: 0.866 0.134 0.866
Ge: 0.000 0.500 0.500
Ge: 0.370 0.370 0.630
Ge: 0.500 0.000 0.000
Ge: 0.630 0.630 0.370


# 3
VASP calculation (GGA-PBE) on a relaxed PmPr2Pt crystal.

Output
M_tot ... 0.49 Bohr magnetons per cell
Electronic total energy ... -5.333 eV/atom
Energy above the lowest structure with this stoichiometry ... 35.54 kJ per mole of atoms
Space-group type ... R-3m, No. 166
Calculated density ... 7440 kg/m³
Formation enthalpy at 0 K ... -0.2451 eV/atom

Cell lengths 11.062, 11.062, 11.062 Å; angles 20.02, 20.02, 20.02 degrees
Fractional coordinates of all 4 atoms:
Pm: 0.000 0.000 0.000
Pr: 0.109 0.109 0.109
Pr: 0.891 0.891 0.891
Pt: 0.500 0.500 0.500